Computed, not measured: Rb2Zr3Te6 after structural relaxation at the PBE level of DFT.

Unit cell a=7.079 b=7.079 c=9.314 alpha=97.32 beta=97.32 gamma=120.02
Positions (direct):
Rb  0.166  0.834  0.000
Rb  0.834  0.166  0.000
Zr  0.000  0.000  0.500
Zr  0.331  0.669  0.500
Zr  0.669  0.331  0.500
Te  0.070  0.399  0.696
Te  0.272  0.272  0.305
Te  0.399  0.070  0.696
Te  0.601  0.930  0.304
Te  0.728  0.728  0.695
Te  0.930  0.601  0.304

Computed properties:
formation energy from raw total energies: -10.8 eV/f.u.
Fermi-level density of states: 6.09 states/eV/f.u.
calculated total energy: -5.20 eV per atom